DFT (PBE-GGA) results for crystalline HfTlCu at its relaxed geometry.

Cell lengths 6.2332, 4.3527, 8.5292 Å; angles 90.00, 90.00, 90.00 degrees
Last column: nearest neighbours and their distance in Å.
Positions (direct):
Hf1 0.1667 0.2500 0.0701  4 Cu 2.72-2.81
Hf2 0.3333 0.7500 0.5701  4 Cu 2.72-2.81
Hf3 0.6667 0.2500 0.4299  4 Cu 2.72-2.81
Hf4 0.8333 0.7500 0.9299  4 Cu 2.72-2.81
Tl1 0.0340 0.2500 0.7078  5 Cu 2.83-3.12, 4 Hf 3.10-3.14
Tl2 0.4660 0.7500 0.2078  5 Cu 2.83-3.12, 4 Hf 3.10-3.14
Tl3 0.5340 0.2500 0.7922  5 Cu 2.83-3.12, 4 Hf 3.10-3.14
Tl4 0.9660 0.7500 0.2922  5 Cu 2.83-3.12, 4 Hf 3.10-3.14
Cu1 0.2181 0.2500 0.3977  4 Hf 2.72-2.81, 3 Tl 2.83-2.88
Cu2 0.2819 0.7500 0.8977  4 Hf 2.72-2.81, 3 Tl 2.83-2.88
Cu3 0.7181 0.2500 0.1023  4 Hf 2.72-2.81, 3 Tl 2.83-2.88
Cu4 0.7819 0.7500 0.6023  4 Hf 2.72-2.81, 3 Tl 2.83-2.88

Values from the calculation:
Calculated volume, Å³/f.u.: 57.9
Magnetic moment, μB per formula unit: 0.00
Energy relative to the elements, eV/atom: 0.0992
E, Ry per atom: -0.3949
Space group: Pnma, No. 62
Density, Mg/m³: 12.814